Record 1
Entry from the Alexandria database: a relaxed Tb3Ho8Zr crystal (GGA-PBE).

Cell and atoms, written as POSCAR:
```
Tb3Ho8Zr
1.0
-5.199 -0.581 -5.505
4.345 -5.108 -3.565
-2.992 -2.727 8.352
Tb Ho Zr
3 8 1
direct
0.750 0.250 0.500
0.250 0.750 0.500
0.500 0.500 0.000
0.121 0.640 0.761
0.360 0.879 0.239
0.879 0.879 0.239
0.121 0.121 0.761
0.640 0.121 0.761
0.360 0.360 0.239
0.879 0.360 0.239
0.640 0.640 0.761
0.000 0.000 0.000
```

- total DFT energy (no corrections) (eV per atom) = -4.1816
- energy of formation (kJ/mol of formula units) = 857
- volume (Å³/cell) = 436.6
- spin magnetization (μB per cell) = 0.00

Record 2
Entry from the Alexandria database: a relaxed ScIn3Pd2 crystal (GGA-PBE).

Cell and atoms, written as POSCAR:
```
ScIn3Pd2
1.0
3.639 0.000 0.000
0.000 7.521 0.000
0.000 0.000 8.911
Sc Pd In
2 4 6
direct
0.500 0.033 0.434
0.500 0.533 0.566
0.000 0.247 0.612
0.000 0.747 0.388
0.500 0.269 0.096
0.500 0.769 0.904
0.500 0.128 0.818
0.500 0.628 0.182
0.000 0.474 0.885
0.000 0.849 0.680
0.000 0.974 0.115
0.000 0.349 0.320
```

- total DFT energy (no corrections) (eV per atom) = -4.6839
- energy of formation (kJ/mol of formula units) = -306
- volume (Å³/cell) = 243.9
- spin magnetization (μB per cell) = 0.00

Record 3
Entry from the Alexandria database: a relaxed VSbMo3 crystal (GGA-PBE).

Cell and atoms, written as POSCAR:
```
VSbMo3
1.0
4.579 0.000 0.000
0.000 4.579 0.000
0.000 0.000 4.579
Sb V Mo
1 1 3
direct
0.500 0.500 0.500
0.000 0.000 0.000
0.500 0.000 0.000
0.000 0.000 0.500
0.000 0.500 0.000
```

- formation energy (no corrections) (eV per formula unit) = 5.86
- total DFT energy (no corrections) (eV per atom) = -7.9752
- volume (Å³/cell) = 96.0
- spin magnetization (μB per cell) = 0.28

Record 4
Entry from the Alexandria database: a relaxed CaTbTh crystal (GGA-PBE).

Cell and atoms, written as POSCAR:
```
CaTbTh
1.0
3.628 0.000 0.000
-1.814 3.142 0.000
0.000 0.000 9.070
Ca Th Tb
1 1 1
direct
0.000 0.000 0.997
0.333 0.667 0.655
0.667 0.333 0.348
```

- total DFT energy (no corrections) (eV per atom) = -4.5845
- energy of formation (kJ/mol of formula units) = 29
- volume (Å³/cell) = 103.4
- spin magnetization (μB per cell) = 0.00

> What is the volume in the third record?

96.0 Å³/cell

> Number 3 is which compound?

VSbMo3